No. 1
Here is a geometry-optimized ZrNbPd structure from Alexandria via LeMat-Bulk. Energies are from PBE.

Calculated values
For the formation energy from the elements, the calculation gives -6.385 kcal/mol of atoms. The crystal system is monoclinic. For the polymorph energy (0 for the lowest one), the calculation gives 138 meV/atom.

Cell: 4.761 3.413 13.787 Å, 90.00 93.27 90.00°
Element x y z (fractional)
Nb (0.747, 0.000, 0.297)
Nb (0.717, 0.500, 0.146)
Nb (0.717, 0.000, 0.646)
Nb (0.747, 0.500, 0.797)
Pd (0.224, 0.500, 0.639)
Pd (0.224, 0.000, 0.139)
Pd (0.280, 0.000, 0.469)
Pd (0.280, 0.500, 0.969)
Zr (0.781, 0.000, 0.980)
Zr (0.248, 0.000, 0.804)
Zr (0.248, 0.500, 0.304)
Zr (0.781, 0.500, 0.480)

No. 2
Here is a geometry-optimized AsSeCl2 structure from Alexandria via LeMat-Bulk. Energies are from PBE.

Calculated values
The calculation puts the uncorrected formation energy at 294 meV/atom. The crystal system is cubic. For the polymorph energy (0 for the lowest one), the calculation gives 618 meV/atom.

Cell: 4.812 4.812 4.812 Å, 60.00 60.00 60.00°
Element x y z (fractional)
Cl (0.750, 0.750, 0.750)
Cl (0.000, 0.000, 0.000)
As (0.500, 0.500, 0.500)
Se (0.250, 0.250, 0.250)

No. 3
Here is a geometry-optimized CrOsSe4 structure from Alexandria via LeMat-Bulk. Energies are from PBE.

Calculated values
The calculation puts the uncorrected formation energy at 1393 meV/atom. The crystal system is cubic.

Cell: 5.561 5.561 5.561 Å, 60.00 60.00 60.00°
Last column: magnetic moment on the atom in μB.
Element x y z (fractional)
Se (0.877, 0.374, 0.374)  -0.10
Se (0.374, 0.374, 0.877)  -0.10
Se (0.374, 0.877, 0.374)  -0.10
Se (0.374, 0.374, 0.374)  -0.10
Os (0.000, 0.000, 0.000)  -2.54
Cr (0.750, 0.750, 0.750)  3.92

No. 4
Here is a geometry-optimized Tm2CuSi4Pt3 structure from Alexandria via LeMat-Bulk. Energies are from PBE.

Calculated values
The calculation puts the uncorrected formation energy at -956 meV/atom. The crystal system is tetragonal.

Cell: 4.087 4.087 10.100 Å, 90.00 90.00 90.00°
Element x y z (fractional)
Pt (0.000, 0.500, 0.129)
Pt (0.500, 0.000, 0.871)
Pt (0.000, 0.000, 0.500)
Tm (0.500, 0.000, 0.258)
Tm (0.000, 0.500, 0.742)
Si (0.500, 0.500, 0.000)
Si (0.000, 0.500, 0.365)
Si (0.500, 0.000, 0.635)
Si (0.000, 0.000, 0.000)
Cu (0.500, 0.500, 0.500)

No. 5
Here is a geometry-optimized Mn2ZnSn2 structure from Alexandria via LeMat-Bulk. Energies are from PBE.

Calculated values
For the formation energy from the elements, the calculation gives 3.617 kcal/mol of atoms. The crystal system is tetragonal.

Cell: 6.711 6.711 3.936 Å, 90.00 90.00 90.00°
Last column: magnetic moment on the atom in μB.
Element x y z (fractional)
Sn (0.835, 0.335, 0.500)  -0.12
Sn (0.665, 0.835, 0.500)  -0.12
Sn (0.335, 0.165, 0.500)  -0.12
Sn (0.165, 0.665, 0.500)  -0.12
Zn (0.000, 0.000, 0.000)  -0.07
Zn (0.500, 0.500, 0.000)  -0.07
Mn (0.362, 0.862, 0.000)  2.77
Mn (0.138, 0.362, 0.000)  2.77
Mn (0.862, 0.638, 0.000)  2.77
Mn (0.638, 0.138, 0.000)  2.77

No. 6
Here is a geometry-optimized Cr2FeTc structure from Alexandria via LeMat-Bulk. Energies are from PBE.

Calculated values
For the formation energy from the elements, the calculation gives 2.278 kcal/mol of atoms. The crystal system is orthorhombic. For the polymorph energy (0 for the lowest one), the calculation gives 0 meV/atom.

Cell: 2.539 2.539 8.162 Å, 90.00 90.00 108.95°
Last column: magnetic moment on the atom in μB.
Element x y z (fractional)
Tc (0.500, 0.500, 0.752)  0.06
Cr (0.500, 0.500, 0.248)  -0.05
Cr (0.000, 0.000, 0.012)  -0.03
Fe (0.000, 0.000, 0.489)  2.32

Which formula does entry 5 have? Mn2ZnSn2